(1)
Computed, not measured: a relaxed TaZnGaCo crystal at the PBE level of DFT.

Lattice parameters (Å, degrees): 4.324 4.324 4.324 60.00 60.00 60.00
Each line ends with the local moment (μB).
Atoms (fractional coordinates):
Ga: 0.000 0.000 0.000  0.01
Co: 0.750 0.750 0.750  0.95
Ta: 0.250 0.250 0.250  0.24
Zn: 0.500 0.500 0.500  0.00

Results
ΔE to the lowest computed polymorph = 161 meV/atom
total DFT energy (no corrections) = -5.685 eV per atom
space-group type = F-43m


(2)
Computed, not measured: a relaxed Tb2NiGe6 crystal at the PBE level of DFT.

Lattice parameters (Å, degrees): 4.074 10.914 10.914 21.14 90.00 90.00
Atoms (fractional coordinates):
Ge: 0.000 0.111 0.111
Ge: 0.000 0.777 0.777
Ge: 0.000 0.894 0.894
Ge: 0.500 0.392 0.392
Ge: 0.500 0.275 0.275
Ge: 0.000 0.537 0.537
Tb: 0.500 0.661 0.661
Tb: 0.500 0.997 0.997
Ni: 0.000 0.219 0.219

Results
ΔE to the lowest computed polymorph = 0 meV/atom
total DFT energy (no corrections) = -5.258 eV per atom
space-group type = Amm2


(3)
Computed, not measured: a relaxed GaFeHgPt crystal at the PBE level of DFT.

Lattice parameters (Å, degrees): 4.503 4.503 4.503 60.00 60.00 60.00
Atoms (fractional coordinates):
Hg: 0.500 0.500 0.500
Ga: 0.000 0.000 0.000
Fe: 0.750 0.750 0.750
Pt: 0.250 0.250 0.250

Results
ΔE to the lowest computed polymorph = 0 meV/atom
total DFT energy (no corrections) = -4.330 eV per atom
space-group type = F-43m


(4)
Computed, not measured: a relaxed Ho3Ni2Sn3Pt crystal at the PBE level of DFT.

Lattice parameters (Å, degrees): 7.310 7.310 4.023 90.00 90.00 120.00
Atoms (fractional coordinates):
Ho: 0.407 0.000 0.000
Ho: 0.593 0.593 0.000
Ho: 0.000 0.407 0.000
Ni: 0.667 0.333 0.500
Ni: 0.333 0.667 0.500
Sn: 0.732 0.000 0.500
Sn: 0.268 0.268 0.500
Sn: 0.000 0.732 0.500
Pt: 0.000 0.000 0.000

Results
total DFT energy (no corrections) = -5.559 eV per atom
space-group type = P-62m


(5)
Computed, not measured: a relaxed PrZrAg crystal at the PBE level of DFT.

Lattice parameters (Å, degrees): 4.847 4.847 4.847 60.00 60.00 60.00
Atoms (fractional coordinates):
Zr: 0.000 0.000 0.000
Ag: 0.250 0.250 0.250
Pr: 0.750 0.750 0.750

Results
ΔE to the lowest computed polymorph = 0 meV/atom
total DFT energy (no corrections) = -4.715 eV per atom
formation energy = 0.67 eV per atom
space-group type = F-43m


(6)
Computed, not measured: a relaxed TmTlO3 crystal at the PBE level of DFT.

Lattice parameters (Å, degrees): 5.480 5.825 8.656 90.00 90.00 90.00
Atoms (fractional coordinates):
Tm: 0.970 0.068 0.250
Tm: 0.030 0.932 0.750
Tm: 0.470 0.432 0.750
Tm: 0.530 0.568 0.250
Tl: 0.000 0.500 0.000
Tl: 0.000 0.500 0.500
Tl: 0.500 0.000 0.000
Tl: 0.500 0.000 0.500
O: 0.808 0.810 0.407
O: 0.692 0.310 0.407
O: 0.308 0.690 0.907
O: 0.808 0.810 0.093
O: 0.172 0.405 0.250
O: 0.672 0.095 0.750
O: 0.192 0.190 0.593
O: 0.328 0.905 0.250
O: 0.692 0.310 0.093
O: 0.308 0.690 0.593
O: 0.828 0.595 0.750
O: 0.192 0.190 0.907

Results
total DFT energy (no corrections) = -6.382 eV per atom
space-group type = Pnma